# 1
! NdEr2UN4 | the Alexandria database | PBE-GGA | optimized geometry; values from VASP
! Crystal system = monoclinic
! Formation energy from raw total energies = -1.5465 eV/atom
&SYSTEM
  ibrav = 0, nat = 8, ntyp = 4
/
ATOMIC_SPECIES
Er 167.26 Er.upf
Nd 144.24 Nd.upf
N 14.01 N.upf
U 238.03 U.upf
CELL_PARAMETERS angstrom
-2.9420 0.9165 -1.6121
-2.6750 -5.0423 2.0150
-0.8284 4.3897 4.0074
ATOMIC_POSITIONS crystal
Er 0.0000 0.5000 0.5000
Er 0.5000 0.0000 0.5000
Nd 0.5000 0.5000 0.0000
N 0.0000 0.2227 0.7522
N 0.0000 0.7773 0.2478
N 0.5000 0.7639 0.7503
N 0.5000 0.2361 0.2497
U 0.0000 0.0000 0.0000

***

# 2
! Cr3SiAg | the Alexandria database | PBE-GGA | optimized geometry; values from VASP
! Crystal system = cubic
! ΔE to the lowest computed polymorph = 749 meV per atom
! Formation energy from raw total energies = 1.6978 eV/atom
&SYSTEM
  ibrav = 0, nat = 5, ntyp = 3
/
ATOMIC_SPECIES
Cr 52.00 Cr.upf
Si 28.09 Si.upf
Ag 107.87 Ag.upf
CELL_PARAMETERS angstrom
-2.6761 -2.7747 -3.0542
4.0006 -2.6368 -1.1097
-1.0114 -3.0882 3.6918
ATOMIC_POSITIONS crystal
Cr 0.0000 0.0000 0.5000
Cr 0.5000 0.0000 0.0000
Cr 0.0000 0.5000 0.0000
Si 0.5000 0.5000 0.5000
Ag 0.0000 0.0000 0.0000

***

# 3
! Nd3Dy5Th2 | the Alexandria database | PBE-GGA | optimized geometry; values from VASP
! Crystal system = monoclinic
! DFT formation energy = 0.208 eV per atom
&SYSTEM
  ibrav = 0, nat = 20, ntyp = 3
/
ATOMIC_SPECIES
Nd 144.24 Nd.upf
Dy 162.50 Dy.upf
Th 232.04 Th.upf
CELL_PARAMETERS angstrom
-1.9157 -5.4592 6.8504
4.7482 -7.4508 -1.4403
5.2054 9.8013 1.8134
ATOMIC_POSITIONS crystal
Nd 0.7775 0.0275 0.0550
Nd 0.2672 0.5162 0.7463
Nd 0.7328 0.4838 0.2537
Nd 0.9790 0.2301 0.7463
Nd 0.0210 0.7699 0.2537
Nd 0.2225 0.9725 0.9450
Dy 0.2797 0.5297 0.0595
Dy 0.9689 0.2189 0.4379
Dy 0.3654 0.1173 0.7309
Dy 0.0311 0.7811 0.5621
Dy 0.7203 0.4703 0.9405
Dy 0.4673 0.7173 0.4345
Dy 0.1345 0.3864 0.2691
Dy 0.8655 0.6136 0.7309
Dy 0.6346 0.8827 0.2691
Dy 0.5327 0.2827 0.5655
Th 0.4842 0.7337 0.7423
Th 0.7580 0.0086 0.7423
Th 0.5158 0.2663 0.2577
Th 0.2420 0.9914 0.2577

***

# 4
! SrCaBi2As | the Alexandria database | PBE-GGA | optimized geometry; values from VASP
! Crystal system = tetragonal
! DFT formation energy = -0.090 eV per atom
&SYSTEM
  ibrav = 0, nat = 5, ntyp = 4
/
ATOMIC_SPECIES
Ca 40.08 Ca.upf
As 74.92 As.upf
Sr 87.62 Sr.upf
Bi 208.98 Bi.upf
CELL_PARAMETERS angstrom
-3.2307 4.8237 -0.5727
-4.0110 -2.9414 -2.1477
-2.2231 -0.8567 5.3251
ATOMIC_POSITIONS crystal
Ca 0.0000 0.0000 0.0000
As 0.0000 0.5000 0.0000
Sr 0.5000 0.5000 0.5000
Bi 0.0000 0.0000 0.5000
Bi 0.5000 0.0000 0.0000

***

# 5
! Co2AsP2 | the Alexandria database | PBE-GGA | optimized geometry; values from VASP
! Crystal system = tetragonal
! DFT formation energy = -0.023 eV per atom
&SYSTEM
  ibrav = 0, nat = 5, ntyp = 3
/
ATOMIC_SPECIES
P 30.97 P.upf
Co 58.93 Co.upf
As 74.92 As.upf
CELL_PARAMETERS angstrom
3.5393 0.0000 0.0000
0.0000 3.5393 0.0000
1.7697 1.7697 5.4393
ATOMIC_POSITIONS crystal
P 0.7500 0.2500 0.5000
P 0.2500 0.7500 0.5000
Co 0.6282 0.6282 0.7437
Co 0.3718 0.3718 0.2563
As 0.0000 0.0000 0.0000

***

# 6
! Si4NiBr | the Alexandria database | PBE-GGA | optimized geometry; values from VASP
! Crystal system = cubic
! Formation energy from raw total energies = 0.7145 eV/atom
&SYSTEM
  ibrav = 0, nat = 6, ntyp = 3
/
ATOMIC_SPECIES
Si 28.09 Si.upf
Br 79.90 Br.upf
Ni 58.69 Ni.upf
CELL_PARAMETERS angstrom
0.0000 3.6761 3.6761
3.6761 0.0000 3.6761
3.6761 3.6761 0.0000
ATOMIC_POSITIONS crystal
Si 0.6251 0.6251 0.6251
Si 0.6251 0.6251 0.1247
Si 0.1247 0.6251 0.6251
Si 0.6251 0.1247 0.6251
Br 0.2500 0.2500 0.2500
Ni 0.0000 0.0000 0.0000

***

# 7
! ZnCrSb2 | the Alexandria database | PBE-GGA | optimized geometry; values from VASP
! Crystal system = tetragonal
! Formation energy from raw total energies = 0.3177 eV/atom
&SYSTEM
  ibrav = 0, nat = 4, ntyp = 3
/
ATOMIC_SPECIES
Sb 121.76 Sb.upf
Zn 65.41 Zn.upf
Cr 52.00 Cr.upf
CELL_PARAMETERS angstrom
-1.9644 4.0732 -3.8820
-5.6493 0.1790 -1.8901
3.1372 -0.3840 5.0528
ATOMIC_POSITIONS crystal
Sb 0.2500 0.7500 0.5000
Sb 0.0000 0.0000 0.0000
Zn 0.5000 0.5000 0.0000
Cr 0.7500 0.2500 0.5000

***

# 8
! Mg3CdO | the Alexandria database | PBE-GGA | optimized geometry; values from VASP
! Crystal system = cubic
! ΔE to the lowest computed polymorph = 1473 meV per atom
! Formation energy from raw total energies = 0.5466 eV/atom
&SYSTEM
  ibrav = 0, nat = 5, ntyp = 3
/
ATOMIC_SPECIES
Mg 24.30 Mg.upf
O 16.00 O.upf
Cd 112.41 Cd.upf
CELL_PARAMETERS angstrom
-4.3685 2.7332 -0.3806
-2.4914 -4.2127 -1.6567
-1.1866 -1.2171 4.8795
ATOMIC_POSITIONS crystal
Mg 0.0000 0.5000 0.0000
Mg 0.0000 0.0000 0.5000
Mg 0.5000 0.0000 0.0000
O 0.5000 0.5000 0.5000
Cd 0.0000 0.0000 0.0000

***

# 9
! Dy2Tm3Sc7 | the Alexandria database | PBE-GGA | optimized geometry; values from VASP
! Crystal system = orthorhombic
! DFT formation energy = 0.260 eV per atom
! ΔE to the lowest computed polymorph = 159 meV per atom
&SYSTEM
  ibrav = 0, nat = 12, ntyp = 3
/
ATOMIC_SPECIES
Sc 44.96 Sc.upf
Dy 162.50 Dy.upf
Tm 168.93 Tm.upf
CELL_PARAMETERS angstrom
-1.2907 1.2029 3.0432
1.1670 -4.5608 2.2976
17.5869 6.0333 3.0439
ATOMIC_POSITIONS crystal
Sc 0.9335 0.5000 0.8669
Sc 0.0000 0.0000 0.0000
Sc 0.4190 0.0000 0.8375
Sc 0.2838 0.5000 0.5675
Sc 0.7162 0.5000 0.4325
Sc 0.5810 0.0000 0.1625
Sc 0.0665 0.5000 0.1331
Dy 0.6365 0.5000 0.2731
Dy 0.3635 0.5000 0.7269
Tm 0.8270 0.0000 0.6538
Tm 0.1730 0.0000 0.3462
Tm 0.5000 0.5000 0.0000

***

# 10
! Li2AcZn2Sn2 | the Alexandria database | PBE-GGA | optimized geometry; values from VASP
! Crystal system = trigonal
! DFT formation energy = -0.449 eV per atom
&SYSTEM
  ibrav = 0, nat = 7, ntyp = 4
/
ATOMIC_SPECIES
Sn 118.71 Sn.upf
Li 6.94 Li.upf
Zn 65.41 Zn.upf
Ac 227.00 Ac.upf
CELL_PARAMETERS angstrom
-0.7521 3.0481 3.3157
-3.9401 -0.0615 2.3070
1.9282 -4.4727 7.6932
ATOMIC_POSITIONS crystal
Sn 0.7488 0.7488 0.7538
Sn 0.2512 0.2512 0.2462
Li 0.8579 0.8579 0.4262
Li 0.1421 0.1421 0.5738
Zn 0.5530 0.5530 0.3410
Zn 0.4470 0.4470 0.6590
Ac 0.0000 0.0000 0.0000

***

# 11
! As2RuBr | the Alexandria database | PBE-GGA | optimized geometry; values from VASP
! Crystal system = orthorhombic
! ΔE to the lowest computed polymorph = 209 meV per atom
! Formation energy from raw total energies = 0.1334 eV/atom
&SYSTEM
  ibrav = 0, nat = 4, ntyp = 3
/
ATOMIC_SPECIES
As 74.92 As.upf
Br 79.90 Br.upf
Ru 101.07 Ru.upf
CELL_PARAMETERS angstrom
-1.9149 -3.3702 -6.2179
2.7365 -4.8952 -4.7155
-1.7749 2.3564 6.7071
ATOMIC_POSITIONS crystal
As 0.7256 0.2256 0.5000
As 0.1059 0.1059 0.0000
Br 0.4140 0.4140 0.0000
Ru 0.2545 0.7545 0.5000

***

# 12
! AcHoAg | the Alexandria database | PBE-GGA | optimized geometry; values from VASP
! Crystal system = trigonal
! DFT formation energy = -0.024 eV per atom
! ΔE to the lowest computed polymorph = 142 meV per atom
&SYSTEM
  ibrav = 0, nat = 3, ntyp = 3
/
ATOMIC_SPECIES
Ac 227.00 Ac.upf
Ho 164.93 Ho.upf
Ag 107.87 Ag.upf
CELL_PARAMETERS angstrom
4.0888 0.0000 0.0000
0.0000 5.1783 0.0000
0.0000 -2.5892 4.4846
ATOMIC_POSITIONS crystal
Ac 0.6659 0.6667 0.3333
Ho 0.1655 0.0000 0.0000
Ag 0.1686 0.3333 0.6667